ZnTc2Pt: PBEsol geometry, meta-GGA SCAN.

Lattice parameters (Å, degrees): 2.717 3.816 5.418 90.00 90.00 90.00
Fractional positions:
Zn 0.000 0.000 0.000
Tc 0.000 0.000 0.515
Tc 0.500 0.500 0.730
Pt 0.500 0.500 0.228

## Properties
- Calculated formation energy: -0.1587 eV/atom
- Crystal system: orthorhombic
- E: -154.46 eV/f.u.

---

ZnTc2Pt: PBEsol geometry, meta-GGA SCAN.

Lattice parameters (Å, degrees): 4.698 4.698 4.698 132.16 132.16 69.98
Fractional positions:
Zn 0.000 0.000 0.000
Tc 0.250 0.750 0.500
Tc 0.500 0.500 0.000
Pt 0.750 0.250 0.500

## Properties
- Calculated formation energy: -0.0816 eV/atom
- Crystal system: tetragonal
- E: -154.15 eV/f.u.

---

ZrTc2Pt: PBEsol geometry, meta-GGA SCAN.

Lattice parameters (Å, degrees): 4.875 4.875 4.840 99.03 99.03 33.72
Fractional positions:
Zr 0.000 0.000 0.000
Tc 0.239 0.239 0.731
Tc 0.761 0.761 0.269
Pt 0.500 0.500 0.500

## Properties
- Calculated formation energy: -0.2331 eV/atom
- Crystal system: monoclinic
- E: -171.94 eV/f.u.
- Energy relative to the lowest polymorph listed for this composition: 153 meV per atom

---

ZrTcPt2: PBEsol geometry, meta-GGA SCAN.

Lattice parameters (Å, degrees): 4.533 4.533 4.533 60.00 60.00 60.00
Fractional positions:
Zr 0.000 0.000 0.000
Tc 0.500 0.500 0.500
Pt 0.250 0.250 0.250
Pt 0.750 0.750 0.750

## Properties
- Calculated formation energy: -0.4148 eV/atom
- Crystal system: cubic
- E: -207.80 eV/f.u.
- Energy relative to the lowest polymorph listed for this composition: 370 meV per atom